(1)
# PBE NdBPd3, relaxed
# ΔH_f (0 K): -550 meV/atom
# N(E_F): 4.50 states/eV per cell
# calculated total energy: -29.77 eV per cell
data_NdBPd3
_space_group_name_H-M_alt 'P m -3 m'
_space_group_IT_number 221
_space_group_name_Hall '-P 4 2 3'
_cell_length_a 4.3807
_cell_length_b 4.3807
_cell_length_c 4.3807
_cell_angle_alpha 90.00
_cell_angle_beta 90.00
_cell_angle_gamma 90.00
loop_
_atom_site_label
_atom_site_type_symbol
_atom_site_fract_x
_atom_site_fract_y
_atom_site_fract_z
_atom_site_occupancy
Nd1 Nd 0.0000 0.0000 0.0000 1
B1 B 0.5000 0.5000 0.5000 1
Pd1 Pd 0.0000 0.5000 0.5000 1


(2)
# PBE Nd3B2PdRh9, relaxed
# ΔH_f (0 K): -434 meV/atom
# N(E_F): 14.78 states/eV per cell
# calculated total energy: -105.52 eV per cell
data_Nd3B2PdRh9
_space_group_name_H-M_alt 'P -3 m 1'
_space_group_IT_number 164
_space_group_name_Hall '-P 3 2"'
_cell_length_a 5.8364
_cell_length_b 5.8364
_cell_length_c 8.7986
_cell_angle_alpha 90.00
_cell_angle_beta 90.00
_cell_angle_gamma 120.00
loop_
_atom_site_label
_atom_site_type_symbol
_atom_site_fract_x
_atom_site_fract_y
_atom_site_fract_z
_atom_site_occupancy
Nd1 Nd 0.0000 0.0000 0.0000 1
Nd2 Nd 0.3333 0.6667 0.6319 1
B1 B 0.3333 0.6667 0.1460 1
Pd1 Pd 0.0000 0.0000 0.5000 1
Rh1 Rh 0.0000 0.5000 0.0000 1
Rh2 Rh 0.1633 0.3267 0.2726 1


(3)
# PBE Nd3BPd2Rh3, relaxed
# ΔH_f (0 K): -637 meV/atom
# N(E_F): 2.55 states/eV per cell
# calculated total energy: -59.16 eV per cell
data_Nd3BPd2Rh3
_space_group_name_H-M_alt 'P -6 2 m'
_space_group_IT_number 189
_space_group_name_Hall 'P -6 -2'
_cell_length_a 7.4501
_cell_length_b 7.4501
_cell_length_c 3.5427
_cell_angle_alpha 90.00
_cell_angle_beta 90.00
_cell_angle_gamma 120.00
loop_
_atom_site_label
_atom_site_type_symbol
_atom_site_fract_x
_atom_site_fract_y
_atom_site_fract_z
_atom_site_occupancy
Nd1 Nd 0.0000 0.6227 0.0000 1
B1 B 0.0000 0.0000 0.0000 1
Pd1 Pd 0.3333 0.6667 0.5000 1
Rh1 Rh 0.0000 0.2122 0.5000 1


(4)
# PBE NdSiBPd6, relaxed
# formation energy from raw total energies: -0.426 eV/atom
# N(E_F): 9.42 states/eV per cell
# calculated total energy: -207.44 eV per cell
data_NdSiBPd6
_space_group_name_H-M_alt 'I m m a'
_space_group_IT_number 74
_space_group_name_Hall '-I 2b 2'
_cell_length_a 7.0245
_cell_length_b 8.2568
_cell_length_c 11.1020
_cell_angle_alpha 90.00
_cell_angle_beta 90.00
_cell_angle_gamma 90.00
loop_
_atom_site_label
_atom_site_type_symbol
_atom_site_fract_x
_atom_site_fract_y
_atom_site_fract_z
_atom_site_occupancy
Nd1 Nd 0.0000 0.2500 0.1852 1
Si1 Si 0.2500 0.2500 0.7500 1
B1 B 0.0000 0.0000 0.5000 1
Pd1 Pd 0.0000 0.2500 0.4554 1
Pd2 Pd 0.0000 0.2500 0.8930 1
Pd3 Pd 0.2175 0.0172 0.6258 1


(5)
# PBE Nd2SiBPd6, relaxed
# formation energy from raw total energies: -0.725 eV/atom
# N(E_F): 10.58 states/eV per cell
# calculated total energy: -120.09 eV per cell
data_Nd2SiBPd6
_space_group_name_H-M_alt 'P m m n'
_space_group_IT_number 59
_cell_length_a 5.7916
_cell_length_b 8.7387
_cell_length_c 7.1259
_cell_angle_alpha 90.00
_cell_angle_beta 90.00
_cell_angle_gamma 90.00
loop_
_space_group_symop_operation_xyz
'x,y,z'
'-x,-y,-z'
'-x+1/2,-y+1/2,z'
'x+1/2,y+1/2,-z'
'x+1/2,-y,-z'
'-x+1/2,y,z'
'-x,y+1/2,-z'
'x,-y+1/2,z'
loop_
_atom_site_label
_atom_site_type_symbol
_atom_site_fract_x
_atom_site_fract_y
_atom_site_fract_z
_atom_site_occupancy
Nd1 Nd 0.2500 0.0323 0.2180 1
Si1 Si 0.2500 0.7500 0.8110 1
B1 B 0.2500 0.2500 0.6960 1
Pd1 Pd 0.0014 0.2500 0.9128 1
Pd2 Pd 0.0133 0.7500 0.5066 1
Pd3 Pd 0.2500 0.0065 0.6639 1


(6)
# PBE PmNdB12, relaxed
# ΔH_f (0 K): -472 meV/atom
# N(E_F): 8.58 states/eV per cell
# calculated total energy: -385.03 eV per cell
data_PmNdB12
_space_group_name_H-M_alt 'F m -3 m'
_space_group_IT_number 225
_space_group_name_Hall '-F 4 2 3'
_cell_length_a 8.2618
_cell_length_b 8.2618
_cell_length_c 8.2618
_cell_angle_alpha 90.00
_cell_angle_beta 90.00
_cell_angle_gamma 90.00
loop_
_atom_site_label
_atom_site_type_symbol
_atom_site_fract_x
_atom_site_fract_y
_atom_site_fract_z
_atom_site_occupancy
Pm1 Pm 0.0000 0.0000 0.0000 1
Nd1 Nd 0.0000 0.0000 0.5000 1
B1 B 0.0998 0.2500 0.2500 1


(7)
# PBE PrNdB, relaxed
# ΔH_f (0 K): -63 meV/atom
# N(E_F): 13.02 states/eV per cell
# calculated total energy: -65.65 eV per cell
data_PrNdB
_space_group_name_H-M_alt 'P n m a'
_space_group_IT_number 62
_space_group_name_Hall '-P 2ac 2n'
_cell_length_a 11.4963
_cell_length_b 3.2782
_cell_length_c 8.3804
_cell_angle_alpha 90.00
_cell_angle_beta 90.00
_cell_angle_gamma 90.00
loop_
_atom_site_label
_atom_site_type_symbol
_atom_site_fract_x
_atom_site_fract_y
_atom_site_fract_z
_atom_site_occupancy
Pr1 Pr 0.0119 0.2500 0.2033 1
Nd1 Nd 0.2154 0.2500 0.4941 1
B1 B 0.0183 0.7500 0.4779 1


(8)
# PBE NdBPt3, relaxed
# ΔH_f (0 K): -849 meV/atom
# N(E_F): 4.39 states/eV per cell
# calculated total energy: -135.25 eV per cell
data_NdBPt3
_space_group_name_H-M_alt 'C m c m'
_space_group_IT_number 63
_space_group_name_Hall '-C 2c 2'
_cell_length_a 5.7453
_cell_length_b 10.1703
_cell_length_c 5.7420
_cell_angle_alpha 90.00
_cell_angle_beta 90.00
_cell_angle_gamma 90.00
loop_
_atom_site_label
_atom_site_type_symbol
_atom_site_fract_x
_atom_site_fract_y
_atom_site_fract_z
_atom_site_occupancy
Nd1 Nd 0.0000 0.2448 0.2500 1
B1 B 0.0000 0.0923 0.7500 1
Pt1 Pt 0.0000 0.2981 0.7500 1
Pt2 Pt 0.2497 0.0000 0.0000 1


(9)
# PBE Nd2BPt6, relaxed
# ΔH_f (0 K): -796 meV/atom
# N(E_F): 5.44 states/eV per cell
# calculated total energy: -119.24 eV per cell
data_Nd2BPt6
_space_group_name_H-M_alt 'C 1 2/m 1'
_space_group_IT_number 12
_space_group_name_Hall '-C 2y'
_cell_length_a 10.0967
_cell_length_b 5.8137
_cell_length_c 5.6236
_cell_angle_alpha 90.00
_cell_angle_beta 104.90
_cell_angle_gamma 90.00
loop_
_atom_site_label
_atom_site_type_symbol
_atom_site_fract_x
_atom_site_fract_y
_atom_site_fract_z
_atom_site_occupancy
Nd1 Nd 0.1344 0.0000 0.3077 1
B1 B 0.0000 0.5000 0.5000 1
Pt1 Pt 0.1215 0.5000 0.2307 1
Pt2 Pt 0.1292 0.2508 0.7830 1


(10)
# PBE Nd2BPt5, relaxed
# ΔH_f (0 K): -893 meV/atom
# N(E_F): 1.95 states/eV per cell
# calculated total energy: -107.13 eV per cell
data_Nd2BPt5
_space_group_name_H-M_alt 'I 4 m m'
_space_group_IT_number 107
_space_group_name_Hall 'I 4 -2'
_cell_length_a 5.8001
_cell_length_b 5.8001
_cell_length_c 9.3144
_cell_angle_alpha 90.00
_cell_angle_beta 90.00
_cell_angle_gamma 90.00
loop_
_atom_site_label
_atom_site_type_symbol
_atom_site_fract_x
_atom_site_fract_y
_atom_site_fract_z
_atom_site_occupancy
Nd1 Nd 0.0000 0.5000 0.0000 1
B1 B 0.0000 0.0000 0.3153 1
Pt1 Pt 0.0000 0.0000 0.5451 1
Pt2 Pt 0.2480 0.2480 0.7522 1


(11)
# PBE NdBPt2, relaxed
# ΔH_f (0 K): -941 meV/atom
# N(E_F): 3.18 states/eV per cell
# calculated total energy: -81.87 eV per cell
data_NdBPt2
_space_group_name_H-M_alt 'P 64 2 2'
_space_group_IT_number 181
_space_group_name_Hall 'P 64 2 (0 0 2)'
_cell_length_a 5.4808
_cell_length_b 5.4808
_cell_length_c 8.0346
_cell_angle_alpha 90.00
_cell_angle_beta 90.00
_cell_angle_gamma 120.00
loop_
_atom_site_label
_atom_site_type_symbol
_atom_site_fract_x
_atom_site_fract_y
_atom_site_fract_z
_atom_site_occupancy
Nd1 Nd 0.0000 0.5000 0.3333 1
B1 B 0.0000 0.5000 0.8333 1
Pt1 Pt 0.1535 0.3071 0.0000 1


(12)
# PBE NdBPt6, relaxed
# ΔH_f (0 K): -542 meV/atom
# N(E_F): 13.86 states/eV per cell
# calculated total energy: -156.08 eV per cell
data_NdBPt6
_space_group_name_H-M_alt 'R -3 m'
_space_group_IT_number 166
_space_group_name_Hall '-R 3 2"'
_cell_length_a 5.6547
_cell_length_b 5.6547
_cell_length_c 15.2924
_cell_angle_alpha 90.00
_cell_angle_beta 90.00
_cell_angle_gamma 120.00
loop_
_atom_site_label
_atom_site_type_symbol
_atom_site_fract_x
_atom_site_fract_y
_atom_site_fract_z
_atom_site_occupancy
Nd1 Nd 0.0000 0.0000 0.0000 1
B1 B 0.0000 0.0000 0.5000 1
Pt1 Pt 0.0152 0.5076 0.9126 1